No. 1
The following is a PBE calculation of crystalline Rb2ThZrO6 at its relaxed geometry, from Alexandria.

Cell: 6.270 6.269 6.272 Å, 60.00 59.98 90.00°
Site moments in Bohr magnetons follow the coordinates.
Positions (direct):
Zr 0.000 0.000 0.000  -0.06
Rb 0.250 0.750 0.500  0.00
O 0.240 0.240 0.520  0.30
O 0.240 0.760 0.000  0.29
O 0.760 0.760 0.000  0.29
Rb 0.750 0.250 0.500  0.00
O 0.760 0.240 0.000  0.29
O 0.760 0.760 0.480  0.30
Th 0.500 0.500 0.000  0.00
O 0.240 0.240 0.000  0.29

Values from the calculation:
Volume (A^3/atom): 17.4
Formation energy (no corrections) (kJ per mole of atoms): -237

---

No. 2
The following is a PBE calculation of crystalline RbTiO2 at its relaxed geometry, from Alexandria.

Cell: 4.195 4.195 4.195 Å, 60.00 60.00 60.00°
Site moments in Bohr magnetons follow the coordinates.
Positions (direct):
Rb 0.500 0.500 0.500  0.02
O 0.250 0.250 0.250  -0.08
O 0.750 0.750 0.750  -0.08
Ti 0.000 0.000 0.000  1.02

Values from the calculation:
Volume (A^3/atom): 13.0
Formation energy (no corrections) (kJ per mole of atoms): -78

---

No. 3
The following is a PBE calculation of crystalline Rb2TiO at its relaxed geometry, from Alexandria.

Cell: 12.993 12.993 9.388 Å, 46.21 46.21 90.00°
Site moments in Bohr magnetons follow the coordinates.
Positions (direct):
Rb 0.438 0.125 0.250  0.01
Ti 0.750 0.250 0.500  1.21
O 0.250 0.750 0.500  -0.05
Rb 0.875 0.688 0.750  0.01
Rb 0.312 0.625 0.250  0.01
Ti 0.000 0.000 0.000  1.19
Rb 0.375 0.562 0.750  0.01
O 0.500 0.500 0.000  -0.05

Values from the calculation:
Volume (A^3/atom): 40.8
Formation energy (no corrections) (kJ per mole of atoms): -66

---

No. 4
The following is a PBE calculation of crystalline RbTi4O7 at its relaxed geometry, from Alexandria.

Cell: 5.564 5.436 13.887 Å, 90.00 90.00 90.00°
Site moments in Bohr magnetons follow the coordinates.
Positions (direct):
O 0.027 0.632 0.653  -0.01
O 0.527 0.368 0.847  -0.01
O 0.873 0.134 0.703  0.01
Ti 0.040 0.848 0.754  0.22
Ti 0.108 0.306 0.625  0.16
Ti 0.540 0.152 0.746  0.22
O 0.373 0.866 0.203  0.01
Rb 0.651 0.733 0.500  0.00
O 0.527 0.780 0.000  0.00
O 0.027 0.220 0.500  0.00
O 0.873 0.134 0.297  0.01
O 0.527 0.368 0.153  -0.01
O 0.441 0.303 0.370  0.02
O 0.941 0.697 0.130  0.02
O 0.941 0.697 0.870  0.02
Ti 0.040 0.848 0.246  0.22
O 0.027 0.632 0.347  -0.01
Rb 0.151 0.267 0.000  0.00
O 0.373 0.866 0.797  0.01
Ti 0.108 0.306 0.375  0.16
Ti 0.608 0.694 0.875  0.16
O 0.441 0.303 0.630  0.02
Ti 0.608 0.694 0.125  0.16
Ti 0.540 0.152 0.254  0.22

Values from the calculation:
Volume (A^3/atom): 17.5
Formation energy (no corrections) (kJ per mole of atoms): -260